ErGa2Te4: relaxed, PBE-GGA.

Lattice parameters (Å, degrees): 6.203 6.203 6.665 90.00 90.00 90.00
Positions (direct):
1 Er 0.000 0.000 0.000
2 Ga 0.000 0.500 0.500
3 Ga 0.500 0.000 0.500
4 Te 0.274 0.274 0.254
5 Te 0.274 0.726 0.746
6 Te 0.726 0.274 0.746
7 Te 0.726 0.726 0.254

Properties
**Formation energy (no corrections)**: -0.496 eV per atom
**N(E_F)**: 3.20 states/eV/f.u.
**Space-group type**: P-42m
**Calculated volume**: 36.6 Å³ per atom
**Magnetic moment**: 0.00 μB/f.u.